# Nd2SmNb

A relaxed structure of Nd2SmNb (PBE-GGA, Alexandria via LeMat-Bulk).

```
data_Nd2SmNb
_cell_length_a 3.3652
_cell_length_b 3.3652
_cell_length_c 35.8844
_cell_angle_alpha 90.00
_cell_angle_beta 90.00
_cell_angle_gamma 120.00
_symmetry_space_group_name_H-M 'R -3 m'
_symmetry_Int_Tables_number 166
_symmetry_space_group_name_Hall '-R 3 2"'
loop_
_atom_site_label
_atom_site_type_symbol
_atom_site_fract_x
_atom_site_fract_y
_atom_site_fract_z
Nd1 Nd 0.0000 0.0000 0.0812
Sm1 Sm 0.0000 0.0000 0.5000
Nb1 Nb 0.0000 0.0000 0.0000
```

**Magnetic moment**: 0.010 Bohr magnetons per cell
**Energy of formation**: 0.596 eV per atom


# NaPIr

A relaxed structure of NaPIr (PBE-GGA, Alexandria via LeMat-Bulk).

```
data_NaPIr
_cell_length_a 6.263
_cell_length_b 6.263
_cell_length_c 6.263
_cell_angle_alpha 90.00
_cell_angle_beta 90.00
_cell_angle_gamma 90.00
_symmetry_space_group_name_H-M 'P 21 3'
_symmetry_Int_Tables_number 198
_symmetry_space_group_name_Hall 'P 2ac 2ab 3'
loop_
_atom_site_label
_atom_site_type_symbol
_atom_site_fract_x
_atom_site_fract_y
_atom_site_fract_z
Na1 Na 0.129 0.129 0.129
P1 P 0.092 0.592 0.908
Ir1 Ir 0.149 0.351 0.649
```

**Magnetic moment**: 0.000 Bohr magnetons per cell
**Energy of formation**: -0.373 eV per atom